(1)
ZnRe2AuBr: relaxed, PBE.

Computed properties:
Density, g cm⁻³: 11.23
ΔE_f (raw), meV per atom: 2206

abc: 4.603 4.603 4.986
angles: 90.00 90.00 90.00
Space group P4/mmm (No. 123)
Asymmetric unit:
Zn1 0.000 0.000 0.000
Re1 0.000 0.500 0.500
Au1 0.500 0.500 0.000
Br1 0.500 0.500 0.500

(2)
TbPm4Pr: relaxed, PBE.

Computed properties:
Density, g cm⁻³: 7.09
E_form, eV per formula unit: 0.10
Distance to the lowest polymorph of the same formula, eV/f.u.: 0.00

abc: 5.141 3.653 10.976
angles: 90.00 90.04 90.00
Space group P2/m (No. 10)
Asymmetric unit:
Tb1 0.000 0.000 0.000
Pm1 0.000 0.000 0.330
Pm2 0.500 0.500 0.164
Pr1 0.500 0.500 0.500

The following total magnetic moment values (in μB/f.u.) correspond, in order, to the records above: 2.176 0.000.